A relaxed TcWBr2O6 crystal, computed with PBE with a Hubbard U.

Unit cell a=5.3427 b=5.3755 c=10.8146 alpha=76.37 beta=45.12 gamma=89.94
Closest atoms and distances in Å follow each position.
Element x y z (fractional)
Tc1 0.5740 0.5380 0.9413  4 O 1.84-1.91
W1 0.9771 0.0065 0.0070  3 O 1.77-1.96
Br1 0.7882 0.1606 0.5351  1 O 1.82
Br2 0.1044 0.6709 0.6244  1 Tc 2.33
O1 0.3164 0.1692 0.7238  1 Br 1.82
O2 0.7217 0.7477 0.0011  1 Tc 1.84, 1 W 1.99
O3 0.3243 0.7876 0.9401  1 Tc 1.90, 1 W 1.96
O4 0.7193 0.2601 0.0085  1 Tc 1.91, 1 W 1.93
O5 0.2898 0.2864 0.9702  1 Tc 1.84, 1 W 2.00
O6 0.6847 0.8730 0.2486  1 W 1.77

Results
Uncorrected energy ... -61.00 eV/cell